(1)
An optimized crystal structure of BeVFePb2. Source: the Alexandria database, functional PBE.

Cell: 4.758 4.758 4.191 Å, 90.00 90.00 90.00°
Element x y z (fractional)
Be1 0.000 0.000 0.000
V1 0.000 0.000 0.500
Fe1 0.500 0.500 0.500
Pb1 0.000 0.500 0.000
Pb2 0.500 0.000 0.000

Values from the calculation:
D(E_F) = 1.52 states/eV/atom
E_form = 1.07 eV per atom
Spin magnetization = 1.089 Bohr magnetons per cell
Symmetry = P4/mmm
Crystal system = tetragonal



(2)
An optimized crystal structure of Zr2BeFePb. Source: the Alexandria database, functional PBE.

Cell: 4.780 4.780 4.141 Å, 90.00 90.00 90.00°
Element x y z (fractional)
Zr1 0.000 0.500 0.000
Zr2 0.500 0.000 0.000
Be1 0.000 0.000 0.000
Fe1 0.000 0.000 0.500
Pb1 0.500 0.500 0.500

Values from the calculation:
D(E_F) = 0.52 states/eV/atom
E_form = 0.15 eV per atom
Spin magnetization = 1.863 Bohr magnetons per cell
Symmetry = P4/mmm
Crystal system = tetragonal



(3)
An optimized crystal structure of Be5FePd4. Source: the Alexandria database, functional PBE.

Cell: 2.793 2.793 13.909 Å, 90.00 90.00 90.00°
Element x y z (fractional)
Be1 0.000 0.000 0.000
Be2 0.000 0.000 0.207
Be3 0.000 0.000 0.416
Be4 0.000 0.000 0.584
Be5 0.000 0.000 0.793
Fe1 0.500 0.500 0.500
Pd1 0.500 0.500 0.102
Pd2 0.500 0.500 0.306
Pd3 0.500 0.500 0.694
Pd4 0.500 0.500 0.898

Values from the calculation:
D(E_F) = 0.41 states/eV/atom
E_form = -0.49 eV per atom
Spin magnetization = 1.139 Bohr magnetons per cell
Symmetry = P4/mmm
Crystal system = tetragonal



(4)
An optimized crystal structure of BeFe3Pd. Source: the Alexandria database, functional PBE.

Cell: 4.597 4.597 4.597 Å, 90.00 90.00 90.00°
Element x y z (fractional)
Be1 0.000 0.000 0.000
Fe1 0.000 0.500 0.500
Fe2 0.500 0.000 0.500
Fe3 0.500 0.500 0.000
Pd1 0.500 0.500 0.500

Values from the calculation:
D(E_F) = 1.46 states/eV/atom
E_form = 1.55 eV per atom
Distance to the lowest polymorph of the same formula = 4.00 eV/f.u.
Spin magnetization = 9.661 Bohr magnetons per cell
Symmetry = Pm-3m
Crystal system = cubic



(5)
An optimized crystal structure of BeFe2Pd. Source: the Alexandria database, functional PBE.

Cell: 9.263 9.263 9.263 Å, 159.14 159.14 29.67°
Element x y z (fractional)
Be1 0.000 0.000 0.000
Be2 0.750 0.250 0.500
Fe1 0.109 0.625 0.984
Fe2 0.375 0.359 0.484
Fe3 0.641 0.125 0.016
Fe4 0.875 0.891 0.516
Pd1 0.250 0.750 0.500
Pd2 0.500 0.500 0.000

Values from the calculation:
D(E_F) = 1.21 states/eV/atom
E_form = 0.25 eV per atom
Spin magnetization = 9.823 Bohr magnetons per cell
Symmetry = I-42d
Crystal system = tetragonal



(6)
An optimized crystal structure of BeFePd4. Source: the Alexandria database, functional PBE.

Cell: 3.971 3.971 5.784 Å, 90.00 90.00 90.00°
Element x y z (fractional)
Be1 0.000 0.000 0.000
Fe1 0.500 0.500 0.500
Pd1 0.000 0.500 0.235
Pd2 0.000 0.500 0.765
Pd3 0.500 0.000 0.235
Pd4 0.500 0.000 0.765

Values from the calculation:
D(E_F) = 0.51 states/eV/atom
E_form = -0.09 eV per atom
Spin magnetization = 4.089 Bohr magnetons per cell
Symmetry = P4/mmm
Crystal system = tetragonal



(7)
An optimized crystal structure of Be2FePd2. Source: the Alexandria database, functional PBE.

Cell: 6.545 6.545 2.743 Å, 90.00 90.00 90.00°
Element x y z (fractional)
Be1 0.128 0.372 0.000
Be2 0.372 0.872 0.000
Be3 0.628 0.128 0.000
Be4 0.872 0.628 0.000
Fe1 0.000 0.000 0.000
Fe2 0.500 0.500 0.000
Pd1 0.167 0.667 0.500
Pd2 0.333 0.167 0.500
Pd3 0.667 0.833 0.500
Pd4 0.833 0.333 0.500

Values from the calculation:
D(E_F) = 0.64 states/eV/atom
E_form = -0.29 eV per atom
Distance to the lowest polymorph of the same formula = 0.00 eV/f.u.
Spin magnetization = 5.732 Bohr magnetons per cell
Symmetry = P4/mbm
Crystal system = tetragonal



(8)
An optimized crystal structure of BeFe2Pd6. Source: the Alexandria database, functional PBE.

Cell: 6.973 6.973 4.058 Å, 106.84 106.84 48.95°
Element x y z (fractional)
Be1 0.000 0.000 0.000
Fe1 0.334 0.334 0.334
Fe2 0.666 0.666 0.666
Pd1 0.082 0.598 0.840
Pd2 0.234 0.766 0.500
Pd3 0.402 0.918 0.160
Pd4 0.598 0.082 0.840
Pd5 0.766 0.234 0.500
Pd6 0.918 0.402 0.160

Values from the calculation:
D(E_F) = 0.45 states/eV/atom
E_form = 0.00 eV per atom
Spin magnetization = 8.099 Bohr magnetons per cell
Symmetry = C2/m
Crystal system = monoclinic